No. 1
Entry from OQMD via LeMat-Bulk: a relaxed GaHg2Au crystal (PBE).

## Properties
space group = F-43m
raw total energy = -6.6 eV/cell

Cell lengths 4.9915, 4.9915, 4.9915 Å; angles 60.00, 60.00, 60.00 degrees
Closest atoms and distances in Å follow each position.
Element x y z (fractional)
Ga1 0.0000 0.0000 0.0000  4 Hg 3.06, 4 Au 3.06
Hg1 0.5000 0.5000 0.5000  4 Hg 3.06, 4 Au 3.06
Hg2 0.7500 0.7500 0.7500  4 Hg 3.06, 4 Ga 3.06
Au1 0.2500 0.2500 0.2500  4 Hg 3.06, 4 Ga 3.06

No. 2
Entry from OQMD via LeMat-Bulk: a relaxed GaHgAu crystal (PBE).

## Properties
space group = F-43m
raw total energy = -6.5 eV/cell

Cell lengths 4.5123, 4.5123, 4.5123 Å; angles 60.00, 60.00, 60.00 degrees
Closest atoms and distances in Å follow each position.
Element x y z (fractional)
Ga1 0.0000 0.0000 0.0000  4 Hg 2.76, 4 Au 2.76
Hg1 0.2500 0.2500 0.2500  4 Ga 2.76
Au1 0.7500 0.7500 0.7500  4 Ga 2.76

No. 3
Entry from OQMD via LeMat-Bulk: a relaxed GaHgAu2 crystal (PBE).

## Properties
space group = F-43m
raw total energy = -9.7 eV/cell

Cell lengths 4.8045, 4.8045, 4.8045 Å; angles 60.00, 60.00, 60.00 degrees
Closest atoms and distances in Å follow each position.
Element x y z (fractional)
Ga1 0.0000 0.0000 0.0000  4 Hg 2.94, 4 Au 2.94
Hg1 0.2500 0.2500 0.2500  4 Au 2.94, 4 Ga 2.94
Au1 0.5000 0.5000 0.5000  4 Au 2.94, 4 Hg 2.94
Au2 0.7500 0.7500 0.7500  4 Au 2.94, 4 Ga 2.94

No. 4
Entry from OQMD via LeMat-Bulk: a relaxed LiGaHgAu crystal (PBE).

## Properties
energy above the most stable polymorph in this dataset = 0.000 eV/atom
space group = F-43m

Cell lengths 4.6605, 4.6605, 4.6605 Å; angles 60.00, 60.00, 60.00 degrees
Closest atoms and distances in Å follow each position.
Element x y z (fractional)
Li1 0.0000 0.0000 0.0000  4 Hg 2.85, 4 Au 2.85
Ga1 0.5000 0.5000 0.5000  4 Hg 2.85, 4 Au 2.85
Hg1 0.2500 0.2500 0.2500  4 Li 2.85, 4 Ga 2.85
Au1 0.7500 0.7500 0.7500  4 Li 2.85, 4 Ga 2.85